--- i ---
# Be3GaIr GGA-PBE relaxed
# * total moment: 0.000 μB per formula unit
data_Be3GaIr
_chemical_formula_sum 'Be3 Ga1 Ir1'
_cell_length_a 4.262
_cell_length_b 4.262
_cell_length_c 4.262
_cell_angle_alpha 90.00
_cell_angle_beta 90.00
_cell_angle_gamma 90.00
_symmetry_space_group_name_H-M 'P m -3 m'
_symmetry_Int_Tables_number 221
_symmetry_space_group_name_Hall '-P 4 2 3'
loop_
_atom_site_label
_atom_site_type_symbol
_atom_site_fract_x
_atom_site_fract_y
_atom_site_fract_z
_atom_site_occupancy
Be1 Be 0.000 0.000 0.500 1
Ga1 Ga 0.500 0.500 0.500 1
Ir1 Ir 0.000 0.000 0.000 1

--- ii ---
# Be3GaIr GGA-PBE relaxed
# * total moment: 0.000 μB per formula unit
data_Be3GaIr
_chemical_formula_sum 'Be3 Ga1 Ir1'
_cell_length_a 4.027
_cell_length_b 4.027
_cell_length_c 4.027
_cell_angle_alpha 90.00
_cell_angle_beta 90.00
_cell_angle_gamma 90.00
_symmetry_space_group_name_H-M 'P m -3 m'
_symmetry_Int_Tables_number 221
_symmetry_space_group_name_Hall '-P 4 2 3'
loop_
_atom_site_label
_atom_site_type_symbol
_atom_site_fract_x
_atom_site_fract_y
_atom_site_fract_z
_atom_site_occupancy
Be1 Be 0.000 0.000 0.500 1
Ga1 Ga 0.000 0.000 0.000 1
Ir1 Ir 0.500 0.500 0.500 1

Short version: i is the most stable of them.

--- i ---
# MgBeGaIr GGA-PBE relaxed
# * total moment: 0.000 μB per formula unit
data_MgBeGaIr
_chemical_formula_sum 'Mg4 Be4 Ga4 Ir4'
_cell_length_a 6.022
_cell_length_b 6.022
_cell_length_c 6.022
_cell_angle_alpha 90.00
_cell_angle_beta 90.00
_cell_angle_gamma 90.00
_symmetry_space_group_name_H-M 'F -4 3 m'
_symmetry_Int_Tables_number 216
_symmetry_space_group_name_Hall 'F -4 2 3'
loop_
_atom_site_label
_atom_site_type_symbol
_atom_site_fract_x
_atom_site_fract_y
_atom_site_fract_z
_atom_site_occupancy
Mg1 Mg 0.000 0.000 0.000 1
Be1 Be 0.250 0.250 0.750 1
Ga1 Ga 0.250 0.250 0.250 1
Ir1 Ir 0.000 0.000 0.500 1

--- ii ---
# MgBeGaIr GGA-PBE relaxed
# * total moment: 0.000 μB per formula unit
data_MgBeGaIr
_chemical_formula_sum 'Mg3 Be3 Ga3 Ir3'
_cell_length_a 3.9757
_cell_length_b 3.9757
_cell_length_c 13.9523
_cell_angle_alpha 90.00
_cell_angle_beta 90.00
_cell_angle_gamma 120.00
_symmetry_space_group_name_H-M 'R 3 m'
_symmetry_Int_Tables_number 160
_symmetry_space_group_name_Hall 'R 3 -2"'
loop_
_atom_site_label
_atom_site_type_symbol
_atom_site_fract_x
_atom_site_fract_y
_atom_site_fract_z
_atom_site_occupancy
Mg1 Mg 0.0000 0.0000 0.0000 1
Be1 Be 0.0000 0.0000 0.5569 1
Ga1 Ga 0.0000 0.0000 0.7925 1
Ir1 Ir 0.0000 0.0000 0.2040 1

Short version: ii is the most stable of them.

--- i ---
# KBe3Ga GGA-PBE relaxed
# * total moment: 0.000 μB per formula unit
data_KBe3Ga
_chemical_formula_sum 'K1 Be3 Ga1'
_cell_length_a 4.490
_cell_length_b 4.490
_cell_length_c 4.490
_cell_angle_alpha 90.00
_cell_angle_beta 90.00
_cell_angle_gamma 90.00
_symmetry_space_group_name_H-M 'P m -3 m'
_symmetry_Int_Tables_number 221
_symmetry_space_group_name_Hall '-P 4 2 3'
loop_
_atom_site_label
_atom_site_type_symbol
_atom_site_fract_x
_atom_site_fract_y
_atom_site_fract_z
_atom_site_occupancy
K1 K 0.000 0.000 0.000 1
Be1 Be 0.000 0.500 0.500 1
Ga1 Ga 0.500 0.500 0.500 1

--- ii ---
# KBe3Ga GGA-PBE relaxed
# * total moment: 0.000 μB per formula unit
data_KBe3Ga
_chemical_formula_sum 'K1 Be3 Ga1'
_cell_length_a 5.482
_cell_length_b 5.482
_cell_length_c 5.482
_cell_angle_alpha 90.00
_cell_angle_beta 90.00
_cell_angle_gamma 90.00
_symmetry_space_group_name_H-M 'P m -3 m'
_symmetry_Int_Tables_number 221
_symmetry_space_group_name_Hall '-P 4 2 3'
loop_
_atom_site_label
_atom_site_type_symbol
_atom_site_fract_x
_atom_site_fract_y
_atom_site_fract_z
_atom_site_occupancy
K1 K 0.000 0.000 0.000 1
Be1 Be 0.000 0.000 0.500 1
Ga1 Ga 0.500 0.500 0.500 1

Short version: i is the most stable of them.

--- i ---
# K2BeGa GGA-PBE relaxed
# * total moment: 0.506 μB per formula unit
data_K2BeGa
_chemical_formula_sum 'K8 Be4 Ga4'
_cell_length_a 8.098
_cell_length_b 8.098
_cell_length_c 8.098
_cell_angle_alpha 90.00
_cell_angle_beta 90.00
_cell_angle_gamma 90.00
_symmetry_space_group_name_H-M 'F m -3 m'
_symmetry_Int_Tables_number 225
_symmetry_space_group_name_Hall '-F 4 2 3'
loop_
_atom_site_label
_atom_site_type_symbol
_atom_site_fract_x
_atom_site_fract_y
_atom_site_fract_z
_atom_site_occupancy
K1 K 0.250 0.250 0.250 1
Be1 Be 0.000 0.000 0.000 1
Ga1 Ga 0.000 0.000 0.500 1

--- ii ---
# K2BeGa GGA-PBE relaxed
# * total moment: 0.000 μB per formula unit
data_K2BeGa
_chemical_formula_sum 'K8 Be4 Ga4'
_cell_length_a 12.611
_cell_length_b 12.611
_cell_length_c 4.340
_cell_angle_alpha 90.00
_cell_angle_beta 90.00
_cell_angle_gamma 90.00
_symmetry_space_group_name_H-M 'I -4 2 d'
_symmetry_Int_Tables_number 122
_symmetry_space_group_name_Hall 'I -4 2bw'
loop_
_atom_site_label
_atom_site_type_symbol
_atom_site_fract_x
_atom_site_fract_y
_atom_site_fract_z
_atom_site_occupancy
K1 K 0.049 0.250 0.125 1
Be1 Be 0.000 0.000 0.000 1
Ga1 Ga 0.000 0.000 0.500 1

Short version: ii is the most stable of them.